1.
KFe3Os: relaxed, PBE-GGA.

As for the total energy: -24.01 eV/cell. The energy of formation comes out at 2.741 eV per atom.

It has space group Pm-3m (No. 221), with a = 4.325 Å, b = 4.325 Å, c = 4.325 Å, α = 90.00°, β = 90.00° and γ = 90.00°. The inequivalent atoms are K at (0.000, 0.000, 0.000), Fe at (0.000, 0.000, 0.500) and Os at (0.500, 0.500, 0.500).

---

2.
Nd3SmPb3: relaxed, PBE-GGA.

As for the total energy: -64.46 eV/cell. The energy of formation comes out at -0.297 eV per atom.

It has space group P6_3/m (No. 176), with a = 9.7354 Å, b = 9.7354 Å, c = 6.3436 Å, α = 90.00°, β = 90.00° and γ = 120.00°. The inequivalent atoms are Nd at (0.0190, 0.3245, 0.2500), Sm at (0.3333, 0.6667, 0.7500) and Pb at (0.0031, 0.6529, 0.2500).

---

3.
MnTc2Ag: relaxed, PBE-GGA.

As for the total energy: -62.79 eV/cell. The energy of formation comes out at 0.339 eV per atom.

It has space group Cmm2 (No. 35), with a = 3.008 Å, b = 4.484 Å, c = 9.037 Å, α = 90.00°, β = 90.00° and γ = 90.00°. The inequivalent atoms are Mn at (0.000, 0.000, 0.000), Tc at (0.000, 0.000, 0.467), Tc at (0.000, 0.500, 0.229) and Ag at (0.000, 0.500, 0.742).

---

4.
InPb5: relaxed, PBE-GGA.

As for the total energy: -42.55 eV/cell. The energy of formation comes out at 0.001 eV per atom.

It has space group Cmmm (No. 65), with a = 4.836 Å, b = 15.392 Å, c = 4.987 Å, α = 90.00°, β = 90.00° and γ = 90.00°. The inequivalent atoms are In at (0.000, 0.000, 0.000), Pb at (0.000, 0.163, 0.500), Pb at (0.000, 0.334, 0.000) and Pb at (0.000, 0.500, 0.500).

---

- What is the formula in the second record?
  Nd3SmPb3

---

- Which value of energy of formation does entry 2 give?
  -0.297 eV per atom

---

Repeat the third record exactly.
MnTc2Ag: relaxed, PBE-GGA.

As for the total energy: -62.79 eV/cell. The energy of formation comes out at 0.339 eV per atom.

It has space group Cmm2 (No. 35), with a = 3.008 Å, b = 4.484 Å, c = 9.037 Å, α = 90.00°, β = 90.00° and γ = 90.00°. The inequivalent atoms are Mn at (0.000, 0.000, 0.000), Tc at (0.000, 0.000, 0.467), Tc at (0.000, 0.500, 0.229) and Ag at (0.000, 0.500, 0.742).